Density functional theory data (GGA+U) for a relaxed structure of Na2WO4.

The space group is P4_122 (No. 91) and the conventional cell measures 6.738, 6.738 and 8.837 Å, with angles of 90.00, 90.00 and 90.00 degrees. Symmetry generates all atoms from Na at (0.000, 0.261, 0.000), Na at (0.244, 0.244, 0.375), W at (0.250, 0.500, 0.750), O at (0.073, 0.293, 0.732) and O at (0.293, 0.485, 0.970).

For the spin magnetization, the calculation gives 0.0 Bohr magnetons per cell. The value obtained for the energy above the most stable polymorph in this dataset is 0.0 meV/atom. Its electronic total energy is -175.48 eV for the cell shown. As for the volume: 401 Å³/cell.